[1]
# Mg2TaIr, optimized geometry, DFT GGA-PBE
# Energy above the most stable polymorph in this dataset in eV/atom: 0.244
data_Mg2TaIr
_chemical_formula_sum 'Mg4 Ta2 Ir2'
_space_group_name_H-M_alt 'I 4/m m m'
_space_group_IT_number 139
_space_group_name_Hall '-I 4 2'
_cell_length_a 3.872
_cell_length_b 3.872
_cell_length_c 9.236
_cell_angle_alpha 90.00
_cell_angle_beta 90.00
_cell_angle_gamma 90.00
loop_
_atom_site_label
_atom_site_type_symbol
_atom_site_fract_x
_atom_site_fract_y
_atom_site_fract_z
Mg1 Mg 0.000 0.500 0.250
Ta1 Ta 0.000 0.000 0.000
Ir1 Ir 0.000 0.000 0.500


[2]
# Mg2Ta2Ir3, optimized geometry, DFT GGA-PBE
# E_tot in eV/atom: -8.128
data_Mg2Ta2Ir3
_chemical_formula_sum 'Mg4 Ta4 Ir6'
_space_group_name_H-M_alt 'C 1 2/m 1'
_space_group_IT_number 12
_cell_length_a 7.720
_cell_length_b 4.472
_cell_length_c 7.720
_cell_angle_alpha 90.00
_cell_angle_beta 109.53
_cell_angle_gamma 90.00
loop_
_space_group_symop_operation_xyz
'x,y,z'
'-x,-y,-z'
'-x,y,-z'
'x,-y,z'
'x+1/2,y+1/2,z'
'-x+1/2,-y+1/2,-z'
'-x+1/2,y+1/2,-z'
'x+1/2,-y+1/2,z'
loop_
_atom_site_label
_atom_site_type_symbol
_atom_site_fract_x
_atom_site_fract_y
_atom_site_fract_z
Mg1 Mg 0.134 0.000 0.397
Ta1 Ta 0.116 0.500 0.851
Ir1 Ir 0.000 0.000 0.000
Ir2 Ir 0.239 0.500 0.216


[3]
# MgTa3Ir4, optimized geometry, DFT GGA-PBE
# E_tot in eV/atom: -9.546
data_MgTa3Ir4
_chemical_formula_sum 'Mg1 Ta3 Ir4'
_space_group_name_H-M_alt 'P m m m'
_space_group_IT_number 47
_cell_length_a 2.920
_cell_length_b 4.710
_cell_length_c 9.575
_cell_angle_alpha 90.00
_cell_angle_beta 90.00
_cell_angle_gamma 90.00
loop_
_space_group_symop_operation_xyz
'x,y,z'
'-x,-y,-z'
'-x,-y,z'
'x,y,-z'
'x,-y,-z'
'-x,y,z'
'-x,y,-z'
'x,-y,z'
loop_
_atom_site_label
_atom_site_type_symbol
_atom_site_fract_x
_atom_site_fract_y
_atom_site_fract_z
Mg1 Mg 0.000 0.000 0.000
Ta1 Ta 0.000 0.000 0.500
Ta2 Ta 0.000 0.500 0.239
Ir1 Ir 0.500 0.000 0.268
Ir2 Ir 0.500 0.500 0.000
Ir3 Ir 0.500 0.500 0.500


[4]
# Mg2TaIr, optimized geometry, DFT GGA-PBE
# Energy above the most stable polymorph in this dataset in eV/atom: 0.338
data_Mg2TaIr
_chemical_formula_sum 'Mg4 Ta2 Ir2'
_space_group_name_H-M_alt 'C m m m'
_space_group_IT_number 65
_space_group_name_Hall '-C 2 2'
_cell_length_a 3.120
_cell_length_b 4.716
_cell_length_c 9.391
_cell_angle_alpha 90.00
_cell_angle_beta 90.00
_cell_angle_gamma 90.00
loop_
_atom_site_label
_atom_site_type_symbol
_atom_site_fract_x
_atom_site_fract_y
_atom_site_fract_z
Mg1 Mg 0.000 0.000 0.227
Ta1 Ta 0.000 0.500 0.500
Ir1 Ir 0.000 0.500 0.000


[5]
# MgTaTcIr, optimized geometry, DFT GGA-PBE
# E_tot in eV/atom: -8.540
data_MgTaTcIr
_chemical_formula_sum 'Mg4 Ta4 Tc4 Ir4'
_space_group_name_H-M_alt 'F -4 3 m'
_space_group_IT_number 216
_space_group_name_Hall 'F -4 2 3'
_cell_length_a 6.309
_cell_length_b 6.309
_cell_length_c 6.309
_cell_angle_alpha 90.00
_cell_angle_beta 90.00
_cell_angle_gamma 90.00
loop_
_atom_site_label
_atom_site_type_symbol
_atom_site_fract_x
_atom_site_fract_y
_atom_site_fract_z
Mg1 Mg 0.000 0.000 0.000
Ta1 Ta 0.000 0.000 0.500
Tc1 Tc 0.250 0.250 0.250
Ir1 Ir 0.250 0.250 0.750


[6]
# MgZr2TaIr, optimized geometry, DFT GGA-PBE
# E_tot in eV/atom: -6.543
data_MgZr2TaIr
_chemical_formula_sum 'Mg1 Zr2 Ta1 Ir1'
_space_group_name_H-M_alt 'P 4/m m m'
_space_group_IT_number 123
_space_group_name_Hall '-P 4 2'
_cell_length_a 4.943
_cell_length_b 4.943
_cell_length_c 4.991
_cell_angle_alpha 90.00
_cell_angle_beta 90.00
_cell_angle_gamma 90.00
loop_
_atom_site_label
_atom_site_type_symbol
_atom_site_fract_x
_atom_site_fract_y
_atom_site_fract_z
Mg1 Mg 0.000 0.000 0.000
Zr1 Zr 0.000 0.500 0.500
Ta1 Ta 0.000 0.000 0.500
Ir1 Ir 0.500 0.500 0.000


[7]
# TbMgIr, optimized geometry, DFT GGA-PBE
# E_tot in eV/atom: -5.489
data_TbMgIr
_chemical_formula_sum 'Tb2 Mg2 Ir2'
_space_group_name_H-M_alt 'I 4 m m'
_space_group_IT_number 107
_space_group_name_Hall 'I 4 -2'
_cell_length_a 3.329
_cell_length_b 3.329
_cell_length_c 11.586
_cell_angle_alpha 90.00
_cell_angle_beta 90.00
_cell_angle_gamma 90.00
loop_
_atom_site_label
_atom_site_type_symbol
_atom_site_fract_x
_atom_site_fract_y
_atom_site_fract_z
Tb1 Tb 0.000 0.000 0.000
Mg1 Mg 0.000 0.000 0.728
Ir1 Ir 0.000 0.000 0.357


[8]
# Tb4MgIr, optimized geometry, DFT GGA-PBE
# Energy above the most stable polymorph in this dataset in eV/atom: 0.000
data_Tb4MgIr
_chemical_formula_sum 'Tb64 Mg16 Ir16'
_space_group_name_H-M_alt 'F -4 3 m'
_space_group_IT_number 216
_space_group_name_Hall 'F -4 2 3'
_cell_length_a 13.778
_cell_length_b 13.778
_cell_length_c 13.778
_cell_angle_alpha 90.00
_cell_angle_beta 90.00
_cell_angle_gamma 90.00
loop_
_atom_site_label
_atom_site_type_symbol
_atom_site_fract_x
_atom_site_fract_y
_atom_site_fract_z
Tb1 Tb 0.000 0.000 0.187
Tb2 Tb 0.062 0.250 0.750
Tb3 Tb 0.097 0.097 0.403
Mg1 Mg 0.171 0.171 0.171
Ir1 Ir 0.108 0.108 0.608


[9]
# Tb4MgIr, optimized geometry, DFT GGA-PBE
# Energy above the most stable polymorph in this dataset in eV/atom: 0.426
data_Tb4MgIr
_chemical_formula_sum 'Tb16 Mg4 Ir4'
_space_group_name_H-M_alt 'I 41 m d'
_space_group_IT_number 109
_space_group_name_Hall 'I 4bw -2'
_cell_length_a 9.493
_cell_length_b 9.493
_cell_length_c 9.139
_cell_angle_alpha 90.00
_cell_angle_beta 90.00
_cell_angle_gamma 90.00
loop_
_atom_site_label
_atom_site_type_symbol
_atom_site_fract_x
_atom_site_fract_y
_atom_site_fract_z
Tb1 Tb 0.000 0.293 0.000
Tb2 Tb 0.000 0.315 0.434
Mg1 Mg 0.000 0.000 0.475
Ir1 Ir 0.000 0.000 0.962


[10]
# Tb2MgIr2, optimized geometry, DFT GGA-PBE
# E_tot in eV/atom: -6.437
data_Tb2MgIr2
_chemical_formula_sum 'Tb8 Mg4 Ir8'
_space_group_name_H-M_alt 'C 1 2/c 1'
_space_group_IT_number 15
_cell_length_a 10.227
_cell_length_b 5.458
_cell_length_c 8.132
_cell_angle_alpha 90.00
_cell_angle_beta 108.06
_cell_angle_gamma 90.00
loop_
_space_group_symop_operation_xyz
'x,y,z'
'-x,-y,-z'
'-x,y,-z+1/2'
'x,-y,z+1/2'
'x+1/2,y+1/2,z'
'-x+1/2,-y+1/2,-z'
'-x+1/2,y+1/2,-z+1/2'
'x+1/2,-y+1/2,z+1/2'
loop_
_atom_site_label
_atom_site_type_symbol
_atom_site_fract_x
_atom_site_fract_y
_atom_site_fract_z
Tb1 Tb 0.146 0.154 0.147
Mg1 Mg 0.000 0.364 0.750
Ir1 Ir 0.139 0.346 0.516


[11]
# Tb3MgIr, optimized geometry, DFT GGA-PBE
# Energy above the most stable polymorph in this dataset in eV/atom: 0.128
data_Tb3MgIr
_chemical_formula_sum 'Tb3 Mg1 Ir1'
_space_group_name_H-M_alt 'P m -3 m'
_space_group_IT_number 221
_space_group_name_Hall '-P 4 2 3'
_cell_length_a 5.423
_cell_length_b 5.423
_cell_length_c 5.423
_cell_angle_alpha 90.00
_cell_angle_beta 90.00
_cell_angle_gamma 90.00
loop_
_atom_site_label
_atom_site_type_symbol
_atom_site_fract_x
_atom_site_fract_y
_atom_site_fract_z
Tb1 Tb 0.000 0.000 0.500
Mg1 Mg 0.500 0.500 0.500
Ir1 Ir 0.000 0.000 0.000


[12]
# Tb3MgIr, optimized geometry, DFT GGA-PBE
# Energy above the most stable polymorph in this dataset in eV/atom: 0.000
data_Tb3MgIr
_chemical_formula_sum 'Tb12 Mg4 Ir4'
_space_group_name_H-M_alt 'P 1 21/c 1'
_space_group_IT_number 14
_cell_length_a 8.593
_cell_length_b 7.183
_cell_length_c 10.473
_cell_angle_alpha 90.00
_cell_angle_beta 120.61
_cell_angle_gamma 90.00
loop_
_space_group_symop_operation_xyz
'x,y,z'
'-x,-y,-z'
'-x,y+1/2,-z+1/2'
'x,-y+1/2,z+1/2'
loop_
_atom_site_label
_atom_site_type_symbol
_atom_site_fract_x
_atom_site_fract_y
_atom_site_fract_z
Tb1 Tb 0.076 0.128 0.315
Tb2 Tb 0.236 0.004 0.079
Tb3 Tb 0.312 0.012 0.694
Mg1 Mg 0.445 0.703 0.969
Ir1 Ir 0.010 0.703 0.956